No. 1
# CaAcZnPd (GGA-PBE, relaxed)
data_CaAcZnPd
_chemical_formula_sum 'Ca4 Ac4 Zn4 Pd4'
_symmetry_space_group_name_H-M 'F -4 3 m'
_symmetry_Int_Tables_number 216
_symmetry_space_group_name_Hall 'F -4 2 3'
_cell_length_a 7.482
_cell_length_b 7.482
_cell_length_c 7.482
_cell_angle_alpha 90.00
_cell_angle_beta 90.00
_cell_angle_gamma 90.00
loop_
_atom_site_label
_atom_site_type_symbol
_atom_site_fract_x
_atom_site_fract_y
_atom_site_fract_z
Ca1 Ca 0.000 0.000 0.000
Ac1 Ac 0.000 0.000 0.500
Zn1 Zn 0.250 0.250 0.250
Pd1 Pd 0.250 0.250 0.750
# V: 419 Å³/cell
# Uncorrected energy: -3.613 eV per atom

=====

No. 2
# Ac6La4Pr (GGA-PBE, relaxed)
data_Ac6La4Pr
_chemical_formula_sum 'Ac6 La4 Pr1'
_symmetry_space_group_name_H-M 'P -6 m 2'
_symmetry_Int_Tables_number 187
_symmetry_space_group_name_Hall 'P -6 2'
_cell_length_a 11.7427
_cell_length_b 11.7427
_cell_length_c 3.8552
_cell_angle_alpha 90.00
_cell_angle_beta 90.00
_cell_angle_gamma 120.00
loop_
_atom_site_label
_atom_site_type_symbol
_atom_site_fract_x
_atom_site_fract_y
_atom_site_fract_z
Ac1 Ac 0.1852 0.3703 0.0000
Ac2 Ac 0.5349 0.0698 0.5000
La1 La 0.3123 0.1561 0.0000
La2 La 0.3333 0.6667 0.5000
Pr1 Pr 0.0000 0.0000 0.5000
# V: 460 Å³/cell
# Uncorrected energy: -4.344 eV per atom

=====

No. 3
# Cu4MoW (GGA-PBE, relaxed)
data_Cu4MoW
_chemical_formula_sum 'Cu16 Mo4 W4'
_symmetry_space_group_name_H-M 'F -4 3 m'
_symmetry_Int_Tables_number 216
_symmetry_space_group_name_Hall 'F -4 2 3'
_cell_length_a 6.780
_cell_length_b 6.780
_cell_length_c 6.780
_cell_angle_alpha 90.00
_cell_angle_beta 90.00
_cell_angle_gamma 90.00
loop_
_atom_site_label
_atom_site_type_symbol
_atom_site_fract_x
_atom_site_fract_y
_atom_site_fract_z
Cu1 Cu 0.125 0.125 0.125
Mo1 Mo 0.250 0.250 0.750
W1 W 0.000 0.000 0.500
# V: 312 Å³/cell
# Uncorrected energy: -6.451 eV per atom

=====

No. 4
# RbLa3Si (GGA-PBE, relaxed)
data_RbLa3Si
_chemical_formula_sum 'Rb1 La3 Si1'
_symmetry_space_group_name_H-M 'P m -3 m'
_symmetry_Int_Tables_number 221
_symmetry_space_group_name_Hall '-P 4 2 3'
_cell_length_a 5.966
_cell_length_b 5.966
_cell_length_c 5.966
_cell_angle_alpha 90.00
_cell_angle_beta 90.00
_cell_angle_gamma 90.00
loop_
_atom_site_label
_atom_site_type_symbol
_atom_site_fract_x
_atom_site_fract_y
_atom_site_fract_z
Rb1 Rb 0.000 0.000 0.000
La1 La 0.000 0.500 0.500
Si1 Si 0.500 0.500 0.500
# V: 212 Å³/cell
# Uncorrected energy: -4.135 eV per atom
# Energy relative to the elements, uncorrected: 0.10 eV per atom

=====

Question: Which value of V does entry 2 give?
Answer: 460 Å³/cell

=====

Question: Which value of uncorrected energy does entry 1 give?
Answer: -3.613 eV per atom

=====

Question: The highest uncorrected energy belongs to which entry?
Answer: CaAcZnPd

=====

Question: Among the records above, which one has the highest V?
Answer: Ac6La4Pr